No. 1
4
Lattice="0.0000 3.4370 3.4370 3.4370 0.0000 3.4370 3.4370 3.4370 0.0000" Properties=species:S:1:pos:R:3 comment="LaNb2Cl PBE optimized geometry" raw_formation_energy_mev_per_atom=816 energy_ev_per_atom=-5.91 magmom_total_mub_per_cell=0.00 de_polymorph_mev_per_atom=744 crystal_system=cubic sg="No. 225" pbc="T T T"
La 0.0000 0.0000 0.0000
Nb 1.7185 1.7185 1.7185
Nb 5.1555 5.1555 5.1555
Cl 3.4370 3.4370 3.4370



No. 2
5
Lattice="5.4346 0.0000 0.0000 0.0000 5.4346 0.0000 0.0000 0.0000 5.4346" Properties=species:S:1:pos:R:3 comment="La3NbCl PBE optimized geometry" raw_formation_energy_mev_per_atom=-40 energy_ev_per_atom=-5.38 magmom_total_mub_per_cell=2.05 de_polymorph_mev_per_atom=0 crystal_system=cubic sg="No. 221" pbc="T T T"
La 0.0000 0.0000 2.7173
La 0.0000 2.7173 0.0000
La 2.7173 0.0000 0.0000
Nb 2.7173 2.7173 2.7173
Cl 0.0000 0.0000 0.0000